The following is a GGA-PBE calculation of crystalline Mn2BI8 at its relaxed geometry, from Alexandria.

Space-group type: No. 12
Calculated total energy in hartree per atom: -0.123
E_form (uncorrected) in eV/atom: 0.042

Lattice parameters (Å, degrees): 7.2694 7.2694 12.8626 108.29 108.29 55.10
With the nearest neighbours (Å) after each atom.
Element x y z (fractional)
Mn  0.1362  0.1362  0.4982  3 I 2.64-2.72
Mn  0.8638  0.8638  0.5018  3 I 2.64-2.72
B  0.0000  0.0000  0.0000  4 I 2.35
I  0.0628  0.0628  0.6725  2 Mn 2.72
I  0.1155  0.6331  0.8964  1 B 2.35
I  0.3431  0.3431  0.5045  1 Mn 2.64
I  0.3669  0.8845  0.1036  1 B 2.35
I  0.6331  0.1155  0.8964  1 B 2.35
I  0.6569  0.6569  0.4955  1 Mn 2.64
I  0.8845  0.3669  0.1036  1 B 2.35
I  0.9372  0.9372  0.3275  2 Mn 2.72